1.
Compound: Hf2TlCr2
Source: Alexandria via LeMat-Bulk
Functional: PBE
Structure: optimized geometry

Summary:
The polymorph energy (0 for the lowest one) is 0 meV/atom. The calculation puts the density of states at the Fermi level at 0.644 states/eV per atom. Its final energy is -8.122 eV/atom. Its energy relative to the elements is 18 kJ per mole of atoms. For the calculated volume, the calculation gives 18.24 Å³/atom.

a b c (Å): 7.125 7.125 3.594
angles (deg): 90.00 90.00 90.00
Element x y z (fractional)
Hf: 0.182 0.318 0.000
Hf: 0.318 0.818 0.000
Hf: 0.682 0.182 0.000
Hf: 0.818 0.682 0.000
Tl: 0.000 0.000 0.500
Tl: 0.500 0.500 0.500
Cr: 0.100 0.600 0.500
Cr: 0.400 0.100 0.500
Cr: 0.600 0.900 0.500
Cr: 0.900 0.400 0.500

---

2.
Compound: HoTh2Mo
Source: Alexandria via LeMat-Bulk
Functional: PBE
Structure: optimized geometry

Summary:
The polymorph energy (0 for the lowest one) is 327 meV/atom. The calculation puts the density of states at the Fermi level at 1.254 states/eV per atom. Its final energy is -7.078 eV/atom. Its energy relative to the elements is 47 kJ per mole of atoms. For the calculated volume, the calculation gives 28.70 Å³/atom.

a b c (Å): 11.147 11.147 11.147
angles (deg): 17.95 17.95 17.95
Element x y z (fractional)
Ho: 0.000 0.000 0.000
Th: 0.100 0.100 0.100
Th: 0.900 0.900 0.900
Mo: 0.500 0.500 0.500

---

3.
Compound: KZnAg2Bi
Source: Alexandria via LeMat-Bulk
Functional: PBE
Structure: optimized geometry

Summary:
The calculation puts the density of states at the Fermi level at 0.295 states/eV per atom. Its final energy is -2.271 eV/atom. Its energy relative to the elements is 12 kJ per mole of atoms. For the calculated volume, the calculation gives 28.63 Å³/atom.

a b c (Å): 5.153 5.153 5.390
angles (deg): 90.00 90.00 90.00
Element x y z (fractional)
K: 0.000 0.000 0.000
Zn: 0.500 0.500 0.500
Ag: 0.000 0.500 0.500
Ag: 0.500 0.000 0.500
Bi: 0.500 0.500 0.000

---

4.
Compound: RbCa2Tl
Source: Alexandria via LeMat-Bulk
Functional: PBE
Structure: optimized geometry

Summary:
The polymorph energy (0 for the lowest one) is 387 meV/atom. The calculation puts the density of states at the Fermi level at 0.610 states/eV per atom. Its final energy is -1.562 eV/atom. Its energy relative to the elements is 26 kJ per mole of atoms. For the calculated volume, the calculation gives 62.11 Å³/atom.

a b c (Å): 11.270 11.270 11.270
angles (deg): 143.78 143.78 52.15
Element x y z (fractional)
Rb: 0.000 0.000 0.000
Rb: 0.750 0.250 0.500
Ca: 0.310 0.625 0.185
Ca: 0.375 0.560 0.685
Ca: 0.440 0.125 0.815
Ca: 0.875 0.690 0.315
Tl: 0.250 0.750 0.500
Tl: 0.500 0.500 0.000